1.
The following is a GGA-PBE calculation of crystalline KCd2NiPb at its relaxed geometry, from Alexandria.

abc: 5.193 5.193 5.080
angles: 90.00 90.00 90.00
Space group P4/mmm (No. 123)
Symmetry-distinct sites (fractional):
K (0.000, 0.000, 0.000) x1
Cd (0.000, 0.500, 0.500) x2
Ni (0.500, 0.500, 0.500) x1
Pb (0.500, 0.500, 0.000) x1

Properties
DFT total energy ... -2.508 eV/atom
Formation enthalpy at 0 K ... -0.02 eV/atom
M_tot ... 0.000 Bohr magnetons per cell

=====

2.
The following is a GGA-PBE calculation of crystalline KCd2NiSn at its relaxed geometry, from Alexandria.

abc: 5.173 5.173 4.918
angles: 90.00 90.00 90.00
Space group P4/mmm (No. 123)
Symmetry-distinct sites (fractional):
K (0.000, 0.000, 0.000) x1
Cd (0.000, 0.500, 0.500) x2
Ni (0.500, 0.500, 0.500) x1
Sn (0.500, 0.500, 0.000) x1

Properties
DFT total energy ... -2.625 eV/atom
Formation enthalpy at 0 K ... -0.08 eV/atom
M_tot ... 0.000 Bohr magnetons per cell

=====

3.
The following is a GGA-PBE calculation of crystalline KSrCd2Ni at its relaxed geometry, from Alexandria.

abc: 5.286 5.286 5.408
angles: 90.00 90.00 90.00
Space group P4/mmm (No. 123)
Symmetry-distinct sites (fractional):
K (0.000, 0.000, 0.000) x1
Sr (0.500, 0.500, 0.000) x1
Cd (0.000, 0.500, 0.500) x2
Ni (0.500, 0.500, 0.500) x1

Properties
DFT total energy ... -2.104 eV/atom
Formation enthalpy at 0 K ... -0.03 eV/atom
M_tot ... 0.000 Bohr magnetons per cell

=====

4.
The following is a GGA-PBE calculation of crystalline KSr2CdNi at its relaxed geometry, from Alexandria.

abc: 5.869 5.869 5.299
angles: 90.00 90.00 90.00
Space group P4/mmm (No. 123)
Symmetry-distinct sites (fractional):
K (0.000, 0.000, 0.000) x1
Sr (0.000, 0.500, 0.500) x2
Cd (0.500, 0.500, 0.000) x1
Ni (0.500, 0.500, 0.500) x1

Properties
DFT total energy ... -2.229 eV/atom
Formation enthalpy at 0 K ... 0.00 eV/atom
M_tot ... 0.000 Bohr magnetons per cell

=====

5.
The following is a GGA-PBE calculation of crystalline KTi2CdNi at its relaxed geometry, from Alexandria.

abc: 5.260 5.260 4.969
angles: 90.00 90.00 90.00
Space group P4/mmm (No. 123)
Symmetry-distinct sites (fractional):
K (0.000, 0.000, 0.000) x1
Ti (0.000, 0.500, 0.500) x2
Cd (0.500, 0.500, 0.500) x1
Ni (0.500, 0.500, 0.000) x1

Properties
DFT total energy ... -3.487 eV/atom
Formation enthalpy at 0 K ... 1.23 eV/atom
M_tot ... 3.892 Bohr magnetons per cell

=====

6.
The following is a GGA-PBE calculation of crystalline KTl2CdNi at its relaxed geometry, from Alexandria.

abc: 5.172 5.172 5.228
angles: 90.00 90.00 90.00
Space group P4/mmm (No. 123)
Symmetry-distinct sites (fractional):
K (0.000, 0.000, 0.000) x1
Tl (0.000, 0.500, 0.500) x2
Cd (0.500, 0.500, 0.000) x1
Ni (0.500, 0.500, 0.500) x1

Properties
DFT total energy ... -2.513 eV/atom
Formation enthalpy at 0 K ... -0.01 eV/atom
M_tot ... 0.000 Bohr magnetons per cell

=====

7.
The following is a GGA-PBE calculation of crystalline KTlCd2Ni at its relaxed geometry, from Alexandria.

abc: 5.176 5.176 5.085
angles: 90.00 90.00 90.00
Space group P4/mmm (No. 123)
Symmetry-distinct sites (fractional):
K (0.000, 0.000, 0.000) x1
Tl (0.500, 0.500, 0.000) x1
Cd (0.000, 0.500, 0.500) x2
Ni (0.500, 0.500, 0.500) x1

Properties
DFT total energy ... -2.244 eV/atom
Formation enthalpy at 0 K ... -0.03 eV/atom
M_tot ... 0.000 Bohr magnetons per cell

=====

8.
The following is a GGA-PBE calculation of crystalline K2CdNiW at its relaxed geometry, from Alexandria.

abc: 6.354 6.354 4.895
angles: 90.00 90.00 90.00
Space group P4/mmm (No. 123)
Symmetry-distinct sites (fractional):
K (0.000, 0.500, 0.000) x2
Cd (0.000, 0.000, 0.000) x1
Ni (0.000, 0.000, 0.500) x1
W (0.500, 0.500, 0.500) x1

Properties
DFT total energy ... -2.662 eV/atom
Formation enthalpy at 0 K ... 1.71 eV/atom
M_tot ... 4.708 Bohr magnetons per cell

=====

9.
The following is a GGA-PBE calculation of crystalline KZn2CdNi at its relaxed geometry, from Alexandria.

abc: 4.786 4.786 5.082
angles: 90.00 90.00 90.00
Space group P4/mmm (No. 123)
Symmetry-distinct sites (fractional):
K (0.000, 0.000, 0.000) x1
Zn (0.000, 0.500, 0.500) x2
Cd (0.500, 0.500, 0.000) x1
Ni (0.500, 0.500, 0.500) x1

Properties
DFT total energy ... -2.075 eV/atom
Formation enthalpy at 0 K ... -0.01 eV/atom
M_tot ... 0.000 Bohr magnetons per cell

=====

10.
The following is a GGA-PBE calculation of crystalline K3NpCd2O6 at its relaxed geometry, from Alexandria.

abc: 5.885 10.535 6.500
angles: 90.00 106.14 90.00
Space group C2/m (No. 12)
Symmetry-distinct sites (fractional):
K (0.000, 0.000, 0.000) x2
K (0.000, 0.324, 0.000) x4
Np (0.000, 0.500, 0.500) x2
Cd (0.000, 0.170, 0.500) x4
O (0.223, 0.500, 0.297) x4
O (0.226, 0.348, 0.693) x8

Properties
DFT total energy ... -5.780 eV/atom
M_tot ... 3.996 Bohr magnetons per cell
Raw formation energy ... -1.80 eV/atom

=====

11.
The following is a GGA-PBE calculation of crystalline KNpCd2O6 at its relaxed geometry, from Alexandria.

abc: 5.873 5.879 6.306
angles: 90.05 117.69 119.94
Space group P1 (No. 1)
Symmetry-distinct sites (fractional):
K (0.000, 0.000, 0.000) x1
Np (0.955, 0.478, 0.432) x1
Cd (0.543, 0.271, 0.814) x1
Cd (0.582, 0.792, 0.373) x1
O (0.081, 0.440, 0.192) x1
O (0.094, 0.249, 0.635) x1
O (0.387, 0.846, 0.635) x1
O (0.551, 0.112, 0.191) x1
O (0.753, 0.642, 0.192) x1
O (0.790, 0.542, 0.635) x1

Properties
DFT total energy ... -6.373 eV/atom
M_tot ... 0.000 Bohr magnetons per cell
Raw formation energy ... -1.81 eV/atom

=====

12.
The following is a GGA-PBE calculation of crystalline K3Np2CdO9 at its relaxed geometry, from Alexandria.

abc: 6.0651 6.0651 7.4635
angles: 90.00 90.00 120.00
Space group P-3m1 (No. 164)
Symmetry-distinct sites (fractional):
K (0.0000, 0.0000, 0.0000) x1
K (0.3333, 0.6667, 0.6537) x2
Np (0.3333, 0.6667, 0.1654) x2
Cd (0.0000, 0.0000, 0.5000) x1
O (0.0000, 0.5000, 0.0000) x3
O (0.1782, 0.3564, 0.3161) x6

Properties
DFT total energy ... -7.260 eV/atom
M_tot ... 1.000 Bohr magnetons per cell
Raw formation energy ... -2.28 eV/atom

=====

13.
The following is a GGA-PBE calculation of crystalline K4Np3CdO12 at its relaxed geometry, from Alexandria.

abc: 8.593 8.593 8.593
angles: 90.00 90.00 90.00
Space group Im-3m (No. 229)
Symmetry-distinct sites (fractional):
K (0.250, 0.250, 0.250) x8
Np (0.000, 0.000, 0.500) x6
Cd (0.000, 0.000, 0.000) x2
O (0.000, 0.000, 0.273) x12
O (0.000, 0.250, 0.500) x12

Properties
DFT total energy ... -7.623 eV/atom
M_tot ... 6.000 Bohr magnetons per cell
Raw formation energy ... -2.44 eV/atom

=====

14.
The following is a GGA-PBE calculation of crystalline K4Np3CdS8 at its relaxed geometry, from Alexandria.

abc: 8.1538 8.1538 22.0300
angles: 90.00 90.00 120.00
Space group R-3m (No. 166, hexagonal axes)
Symmetry-distinct sites (fractional):
K (0.0000, 0.0000, 0.0000) x3
K (0.0000, 0.5000, 0.0000) x9
Np (0.0000, 0.5000, 0.5000) x9
Cd (0.0000, 0.0000, 0.5000) x3
S (0.0000, 0.0000, 0.2331) x6
S (0.0054, 0.5027, 0.7663) x18

Properties
DFT total energy ... -6.095 eV/atom
M_tot ... 33.000 Bohr magnetons per cell
Raw formation energy ... -1.27 eV/atom

=====

15.
The following is a GGA-PBE calculation of crystalline K2Np2CdSe6 at its relaxed geometry, from Alexandria.

abc: 7.090 12.511 8.202
angles: 90.00 106.06 90.00
Space group C2/m (No. 12)
Symmetry-distinct sites (fractional):
K (0.000, 0.162, 0.000) x4
Np (0.000, 0.334, 0.500) x4
Cd (0.000, 0.000, 0.500) x2
Se (0.226, 0.500, 0.698) x4
Se (0.236, 0.174, 0.701) x8

Properties
DFT total energy ... -5.609 eV/atom
M_tot ... 12.000 Bohr magnetons per cell
Raw formation energy ... -1.07 eV/atom

=====

16.
The following is a GGA-PBE calculation of crystalline K2NpCd2Se4 at its relaxed geometry, from Alexandria.

abc: 17.099 4.131 8.448
angles: 90.00 115.91 90.00
Space group C2/m (No. 12)
Symmetry-distinct sites (fractional):
K (0.127, 0.000, 0.065) x4
Np (0.000, 0.000, 0.500) x2
Cd (0.192, 0.500, 0.527) x4
Se (0.022, 0.500, 0.278) x4
Se (0.180, 0.000, 0.736) x4

Properties
DFT total energy ... -4.318 eV/atom
M_tot ... 6.542 Bohr magnetons per cell
Raw formation energy ... -0.88 eV/atom

=====

17.
The following is a GGA-PBE calculation of crystalline K3Np2CdSe6 at its relaxed geometry, from Alexandria.

abc: 7.323 12.675 8.048
angles: 90.00 107.59 90.00
Space group C2/m (No. 12)
Symmetry-distinct sites (fractional):
K (0.000, 0.000, 0.000) x2
K (0.000, 0.337, 0.000) x4
Np (0.000, 0.167, 0.500) x4
Cd (0.000, 0.500, 0.500) x2
Se (0.229, 0.000, 0.704) x4
Se (0.238, 0.330, 0.705) x8

Properties
DFT total energy ... -5.380 eV/atom
M_tot ... 14.000 Bohr magnetons per cell
Raw formation energy ... -1.13 eV/atom

=====

18.
The following is a GGA-PBE calculation of crystalline K2NpCdSe4 at its relaxed geometry, from Alexandria.

abc: 7.311 4.218 8.078
angles: 90.00 108.98 90.00
Space group P2/m (No. 10)
Symmetry-distinct sites (fractional):
K (0.000, 0.000, 0.000) x1
K (0.500, 0.500, 0.000) x1
Np (0.000, 0.500, 0.500) x1
Cd (0.500, 0.000, 0.500) x1
Se (0.219, 0.000, 0.710) x2
Se (0.264, 0.500, 0.306) x2

Properties
DFT total energy ... -4.792 eV/atom
M_tot ... 3.000 Bohr magnetons per cell
Raw formation energy ... -1.04 eV/atom

=====

19.
The following is a GGA-PBE calculation of crystalline K2NpCd2Te4 at its relaxed geometry, from Alexandria.

abc: 16.776 4.656 8.558
angles: 90.00 108.07 90.00
Space group C2/m (No. 12)
Symmetry-distinct sites (fractional):
K (0.127, 0.000, 0.063) x4
Np (0.000, 0.000, 0.500) x2
Cd (0.168, 0.500, 0.485) x4
Te (0.005, 0.500, 0.247) x4
Te (0.206, 0.000, 0.698) x4

Properties
DFT total energy ... -3.935 eV/atom
M_tot ... 9.512 Bohr magnetons per cell
Raw formation energy ... -0.65 eV/atom

=====

20.
The following is a GGA-PBE calculation of crystalline KCd3O at its relaxed geometry, from Alexandria.

abc: 6.811 6.811 6.811
angles: 90.00 90.00 90.00
Space group Pm-3m (No. 221)
Symmetry-distinct sites (fractional):
K (0.000, 0.000, 0.000) x1
Cd (0.000, 0.000, 0.500) x3
O (0.500, 0.500, 0.500) x1

Properties
Energy above the lowest structure with this stoichiometry ... 85.5 kJ/mol of atoms
DFT total energy ... -0.855 eV/atom
M_tot ... 0.000 Bohr magnetons per cell
Raw formation energy ... 0.91 eV/atom

=====

21.
The following is a GGA-PBE calculation of crystalline KCd3O at its relaxed geometry, from Alexandria.

abc: 5.031 5.031 5.031
angles: 90.00 90.00 90.00
Space group Pm-3m (No. 221)
Symmetry-distinct sites (fractional):
K (0.000, 0.000, 0.000) x1
Cd (0.000, 0.500, 0.500) x3
O (0.500, 0.500, 0.500) x1

Properties
Energy above the lowest structure with this stoichiometry ... 0.0 kJ/mol of atoms
DFT total energy ... -1.740 eV/atom
M_tot ... 0.000 Bohr magnetons per cell
Raw formation energy ... 0.02 eV/atom

=====

22.
The following is a GGA-PBE calculation of crystalline K14Cd2O9 at its relaxed geometry, from Alexandria.

abc: 7.6714 7.6714 10.8150
angles: 90.00 90.00 120.00
Space group P-3 (No. 147)
Symmetry-distinct sites (fractional):
K (0.0000, 0.0000, 0.2486) x2
K (0.0275, 0.6675, 0.4055) x6
K (0.0669, 0.3801, 0.0935) x6
Cd (0.3333, 0.6667, 0.7680) x2
O (0.0000, 0.0000, 0.5000) x1
O (0.0662, 0.3660, 0.8365) x6
O (0.3333, 0.6667, 0.5523) x2

Properties
DFT total energy ... -3.559 eV/atom
M_tot ... 0.494 Bohr magnetons per cell
Raw formation energy ... -1.09 eV/atom

=====

23.
The following is a GGA-PBE calculation of crystalline K6Cd2O at its relaxed geometry, from Alexandria.

abc: 7.859 10.972 11.305
angles: 90.00 127.88 90.00
Space group P2_1/c (No. 14)
Symmetry-distinct sites (fractional):
K (0.199, 0.035, 0.288) x4
K (0.223, 0.703, 0.560) x4
K (0.295, 0.128, 0.016) x4
Cd (0.204, 0.048, 0.634) x4
O (0.000, 0.000, 0.000) x2

Properties
DFT total energy ... -1.865 eV/atom
M_tot ... 0.000 Bohr magnetons per cell
Raw formation energy ... -0.38 eV/atom